# Hf2VTc

An optimized crystal structure of Hf2VTc (PBE, Alexandria via LeMat-Bulk).

Cell: 3.309 4.639 4.639 Å, 90.00 90.00 90.00°
Site moments in Bohr magnetons follow the coordinates.
Atoms (fractional coordinates):
V (0.500, 0.000, 0.000)  1.77
Hf (0.000, 0.500, 0.000)  0.15
Tc (0.500, 0.500, 0.500)  -0.06
Hf (0.000, 0.000, 0.500)  0.15

Computed properties:
- calculated density (Mg/m³) = 11.80
- V (Å³/atom) = 17.8
- size of the total moment (Bohr magnetons per cell) = 2.39
- DOS(E_F) (states/eV per cell) = 3.1
- energy relative to the lowest polymorph listed for this composition (meV per atom) = 7
- ΔE_f (eV per atom) = -0.1900
- crystal system = tetragonal

# NaIn3Hg9

An optimized crystal structure of NaIn3Hg9 (PBE, Alexandria via LeMat-Bulk).

Cell: 3.374 13.457 16.012 Å, 73.39 83.95 82.80°
Atoms (fractional coordinates):
Na (0.720, 0.064, 0.509)
Hg (0.523, 0.940, 0.086)
In (0.519, 0.719, 0.242)
Na (0.707, 0.564, 0.009)
Hg (0.452, 0.440, 0.586)
Hg (0.561, 0.496, 0.383)
Hg (0.111, 0.751, 0.052)
In (0.189, 0.802, 0.852)
Hg (0.968, 0.676, 0.441)
Hg (0.278, 0.583, 0.831)
In (0.158, 0.302, 0.352)
Hg (0.903, 0.395, 0.791)
Hg (0.148, 0.027, 0.693)
In (0.519, 0.219, 0.742)
Hg (0.308, 0.083, 0.331)
Hg (0.912, 0.895, 0.291)
Hg (0.560, 0.996, 0.883)
Hg (0.132, 0.527, 0.193)
Hg (0.778, 0.830, 0.669)
In (0.822, 0.613, 0.644)
Hg (0.308, 0.363, 0.986)
Hg (0.087, 0.251, 0.552)
Hg (0.723, 0.330, 0.169)
Hg (0.343, 0.863, 0.486)
In (0.922, 0.113, 0.144)
Hg (0.916, 0.176, 0.941)

Computed properties:
- calculated density (Mg/m³) = 10.47
- V (Å³/atom) = 26.5
- size of the total moment (Bohr magnetons per cell) = 0.00
- DOS(E_F) (states/eV per cell) = 10.2
- ΔE_f (eV per atom) = -0.0419
- crystal system = monoclinic

# LaPm2Nd7

An optimized crystal structure of LaPm2Nd7 (PBE, Alexandria via LeMat-Bulk).

Cell: 6.388 9.762 6.379 Å, 109.21 99.49 102.67°
Atoms (fractional coordinates):
Pm (0.799, 0.599, 0.600)
Nd (0.901, 0.301, 0.799)
La (0.000, 0.000, 0.000)
Nd (0.699, 0.899, 0.400)
Nd (0.301, 0.101, 0.600)
Pm (0.201, 0.401, 0.400)
Nd (0.601, 0.202, 0.201)
Nd (0.099, 0.699, 0.201)
Nd (0.500, 0.500, 0.000)
Nd (0.399, 0.798, 0.799)

Computed properties:
- calculated density (Mg/m³) = 6.75
- V (Å³/atom) = 35.4
- size of the total moment (Bohr magnetons per cell) = 0.00
- DOS(E_F) (states/eV per cell) = 18.4
- energy relative to the lowest polymorph listed for this composition (meV per atom) = 0
- ΔE_f (eV per atom) = 0.0156
- crystal system = triclinic

# Dy2Tm8Tc

An optimized crystal structure of Dy2Tm8Tc (PBE, Alexandria via LeMat-Bulk).

Cell: 5.386 6.333 9.617 Å, 91.98 106.26 90.00°
Atoms (fractional coordinates):
Tm (0.648, 0.137, 0.297)
Tm (0.960, 0.760, 0.921)
Tm (0.426, 0.367, 0.852)
Tm (0.157, 0.824, 0.315)
Tc (0.500, 0.000, 0.000)
Dy (0.760, 0.668, 0.520)
Tm (0.843, 0.176, 0.685)
Tm (0.040, 0.240, 0.079)
Tm (0.352, 0.863, 0.703)
Tm (0.574, 0.633, 0.148)
Dy (0.240, 0.332, 0.480)

Computed properties:
- calculated density (Mg/m³) = 9.36
- V (Å³/atom) = 28.6
- size of the total moment (Bohr magnetons per cell) = 0.00
- DOS(E_F) (states/eV per cell) = 16.2
- ΔE_f (eV per atom) = 0.0059
- crystal system = monoclinic

# DyZnCd

An optimized crystal structure of DyZnCd (PBE, Alexandria via LeMat-Bulk).

Cell: 4.115 7.445 13.102 Å, 90.00 90.00 90.00°
Atoms (fractional coordinates):
Dy (0.000, 0.759, 0.457)
Zn (0.500, 0.948, 0.908)
Zn (0.500, 0.052, 0.408)
Cd (0.500, 0.197, 0.750)
Zn (0.500, 0.052, 0.092)
Dy (0.000, 0.241, 0.957)
Zn (0.000, 0.556, 0.250)
Cd (0.500, 0.570, 0.618)
Dy (0.000, 0.759, 0.043)
Cd (0.500, 0.570, 0.882)
Cd (0.500, 0.430, 0.382)
Cd (0.500, 0.803, 0.250)
Cd (0.500, 0.430, 0.118)
Dy (0.000, 0.241, 0.543)
Zn (0.000, 0.444, 0.750)
Zn (0.500, 0.948, 0.592)
Dy (0.000, 0.146, 0.250)
Dy (0.000, 0.854, 0.750)

Computed properties:
- calculated density (Mg/m³) = 8.45
- V (Å³/atom) = 22.3
- size of the total moment (Bohr magnetons per cell) = 0.00
- DOS(E_F) (states/eV per cell) = 13.2
- ΔE_f (eV per atom) = -0.3403
- crystal system = orthorhombic

# La2InAgIr

An optimized crystal structure of La2InAgIr (PBE, Alexandria via LeMat-Bulk).

Cell: 5.546 5.546 5.157 Å, 90.00 90.00 90.00°
Atoms (fractional coordinates):
La (0.000, 0.500, 0.000)
Ag (0.500, 0.500, 0.500)
Ir (0.000, 0.000, 0.000)
In (0.000, 0.000, 0.500)
La (0.500, 0.000, 0.000)

Computed properties:
- calculated density (Mg/m³) = 7.25
- V (Å³/atom) = 31.7
- size of the total moment (Bohr magnetons per cell) = 0.00
- DOS(E_F) (states/eV per cell) = 3.5
- energy relative to the lowest polymorph listed for this composition (meV per atom) = 187
- ΔE_f (eV per atom) = -0.3486
- crystal system = tetragonal

# TlSn3

An optimized crystal structure of TlSn3 (PBE, Alexandria via LeMat-Bulk).

Cell: 4.471 4.473 6.152 Å, 90.00 90.00 90.00°
Atoms (fractional coordinates):
Sn (0.500, 0.500, 0.898)
Sn (0.500, 0.000, 0.534)
Tl (0.000, 0.500, 0.337)
Sn (0.000, 0.000, 0.898)

Computed properties:
- calculated density (Mg/m³) = 7.57
- V (Å³/atom) = 30.8
- size of the total moment (Bohr magnetons per cell) = 0.00
- DOS(E_F) (states/eV per cell) = 1.0
- energy relative to the lowest polymorph listed for this composition (meV per atom) = 31
- ΔE_f (eV per atom) = 0.0621
- crystal system = tetragonal

# PmAlTl2

An optimized crystal structure of PmAlTl2 (PBE, Alexandria via LeMat-Bulk).

Cell: 4.754 4.754 6.086 Å, 67.01 67.01 60.00°
Atoms (fractional coordinates):
Al (0.500, 0.500, 0.500)
Pm (0.000, 0.000, 0.000)
Tl (0.767, 0.767, 0.699)
Tl (0.233, 0.233, 0.301)

Computed properties:
- calculated density (Mg/m³) = 9.07
- V (Å³/atom) = 26.6
- size of the total moment (Bohr magnetons per cell) = 0.00
- DOS(E_F) (states/eV per cell) = 1.2
- ΔE_f (eV per atom) = -0.1181
- crystal system = trigonal

# Sc3AlO

An optimized crystal structure of Sc3AlO (PBE, Alexandria via LeMat-Bulk).

Cell: 23.032 5.714 9.006 Å, 90.00 162.65 90.00°
Atoms (fractional coordinates):
Al (0.011, 0.159, 0.422)
Sc (0.207, 0.414, 0.568)
Al (0.989, 0.841, 0.578)
O (0.523, 0.761, 0.639)
Sc (0.293, 0.914, 0.932)
Sc (0.907, 0.623, 0.080)
O (0.977, 0.261, 0.861)
Sc (0.707, 0.086, 0.068)
O (0.477, 0.239, 0.361)
Al (0.489, 0.659, 0.078)
Sc (0.147, 0.936, 0.249)
Sc (0.407, 0.877, 0.580)
Sc (0.647, 0.564, 0.749)
Sc (0.353, 0.436, 0.251)
Al (0.511, 0.341, 0.922)
Sc (0.853, 0.064, 0.751)
Sc (0.793, 0.586, 0.432)
Sc (0.593, 0.123, 0.420)
Sc (0.093, 0.377, 0.920)
O (0.023, 0.739, 0.139)

Computed properties:
- calculated density (Mg/m³) = 3.34
- V (Å³/atom) = 17.7
- size of the total moment (Bohr magnetons per cell) = 0.00
- DOS(E_F) (states/eV per cell) = 20.2
- ΔE_f (raw) (eV per atom) = -1.285
- crystal system = monoclinic

# CeSmAgAu

An optimized crystal structure of CeSmAgAu (PBE, Alexandria via LeMat-Bulk).

Cell: 3.653 3.653 7.612 Å, 90.00 90.00 90.00°
Site moments in Bohr magnetons follow the coordinates.
Atoms (fractional coordinates):
Sm (0.500, 0.500, 0.601)  0.00
Ce (0.500, 0.500, 0.114)  0.94
Au (0.000, 0.000, 0.366)  0.00
Ag (0.000, 0.000, 0.847)  0.00

Computed properties:
- calculated density (Mg/m³) = 9.73
- V (Å³/atom) = 25.4
- size of the total moment (Bohr magnetons per cell) = 1.16
- DOS(E_F) (states/eV per cell) = 8.6
- energy relative to the lowest polymorph listed for this composition (meV per atom) = 0
- ΔE_f (eV per atom) = -0.4315
- crystal system = tetragonal